1.
# Ti4Co2Sn | Alexandria via LeMat-Bulk | PBE | relaxed
data_Ti4Co2Sn
_chemical_formula_sum 'Ti12 Co6 Sn3'
_symmetry_space_group_name_H-M 'R -3 m'
_symmetry_Int_Tables_number 166
_symmetry_space_group_name_Hall '-R 3 2"'
_cell_length_a 3.9846
_cell_length_b 3.9846
_cell_length_c 26.5995
_cell_angle_alpha 90.00
_cell_angle_beta 90.00
_cell_angle_gamma 120.00
loop_
_atom_site_label
_atom_site_type_symbol
_atom_site_fract_x
_atom_site_fract_y
_atom_site_fract_z
_atom_site_occupancy
Ti1 Ti 0.0000 0.0000 0.1013 1
Ti2 Ti 0.0000 0.0000 0.3025 1
Co1 Co 0.0000 0.0000 0.3969 1
Sn1 Sn 0.0000 0.0000 0.5000 1
# volume	365.74	Å³ per cell
# total magnetic moment	0.00	Bohr magnetons per cell
# ΔE_f	-76.5	meV/atom
# raw total energy	-7.190	eV/atom

---

2.
# BaPmSn2 | Alexandria via LeMat-Bulk | PBE | relaxed
data_BaPmSn2
_chemical_formula_sum 'Ba4 Pm4 Sn8'
_symmetry_space_group_name_H-M 'P n m a'
_symmetry_Int_Tables_number 62
_symmetry_space_group_name_Hall '-P 2ac 2n'
_cell_length_a 9.721
_cell_length_b 4.470
_cell_length_c 13.218
_cell_angle_alpha 90.00
_cell_angle_beta 90.00
_cell_angle_gamma 90.00
loop_
_atom_site_label
_atom_site_type_symbol
_atom_site_fract_x
_atom_site_fract_y
_atom_site_fract_z
_atom_site_occupancy
Ba1 Ba 0.126 0.250 0.134 1
Pm1 Pm 0.001 0.750 0.386 1
Sn1 Sn 0.172 0.250 0.814 1
Sn2 Sn 0.232 0.250 0.444 1
# volume	574.32	Å³ per cell
# total magnetic moment	0.65	Bohr magnetons per cell
# ΔE_f	-606.0	meV/atom
# raw total energy	-4.276	eV/atom

---

3.
# PmPuMg2Hg4 | Alexandria via LeMat-Bulk | PBE | relaxed
data_PmPuMg2Hg4
_chemical_formula_sum 'Pm3 Pu3 Mg6 Hg12'
_symmetry_space_group_name_H-M 'R -3 m'
_symmetry_Int_Tables_number 166
_symmetry_space_group_name_Hall '-R 3 2"'
_cell_length_a 5.1450
_cell_length_b 5.1450
_cell_length_c 25.2630
_cell_angle_alpha 90.00
_cell_angle_beta 90.00
_cell_angle_gamma 120.00
loop_
_atom_site_label
_atom_site_type_symbol
_atom_site_fract_x
_atom_site_fract_y
_atom_site_fract_z
_atom_site_occupancy
Pm1 Pm 0.0000 0.0000 0.0000 1
Pu1 Pu 0.0000 0.0000 0.5000 1
Mg1 Mg 0.0000 0.0000 0.2495 1
Hg1 Hg 0.0000 0.0000 0.1253 1
Hg2 Hg 0.0000 0.0000 0.3758 1
# volume	579.15	Å³ per cell
# total magnetic moment	16.86	Bohr magnetons per cell
# ΔE_f	-345.1	meV/atom
# raw total energy	-3.280	eV/atom

---

4.
# ZnSeBr2 | Alexandria via LeMat-Bulk | PBE | relaxed
data_ZnSeBr2
_chemical_formula_sum 'Zn2 Se2 Br4'
_symmetry_space_group_name_H-M 'C m m m'
_symmetry_Int_Tables_number 65
_symmetry_space_group_name_Hall '-C 2 2'
_cell_length_a 6.873
_cell_length_b 8.940
_cell_length_c 3.455
_cell_angle_alpha 90.00
_cell_angle_beta 90.00
_cell_angle_gamma 90.00
loop_
_atom_site_label
_atom_site_type_symbol
_atom_site_fract_x
_atom_site_fract_y
_atom_site_fract_z
_atom_site_occupancy
Zn1 Zn 0.000 0.000 0.000 1
Se1 Se 0.000 0.500 0.000 1
Br1 Br 0.000 0.201 0.500 1
# volume	212.28	Å³ per cell
# total magnetic moment	0.00	Bohr magnetons per cell
# uncorrected formation energy	-18	meV/atom
# raw total energy	-2.044	eV/atom
# distance to the lowest polymorph of the same formula	419.8	meV per atom

---

Which of these has the lowest volume?
ZnSeBr2

---

Copy entry 1 word for word.
# Ti4Co2Sn | Alexandria via LeMat-Bulk | PBE | relaxed
data_Ti4Co2Sn
_chemical_formula_sum 'Ti12 Co6 Sn3'
_symmetry_space_group_name_H-M 'R -3 m'
_symmetry_Int_Tables_number 166
_symmetry_space_group_name_Hall '-R 3 2"'
_cell_length_a 3.9846
_cell_length_b 3.9846
_cell_length_c 26.5995
_cell_angle_alpha 90.00
_cell_angle_beta 90.00
_cell_angle_gamma 120.00
loop_
_atom_site_label
_atom_site_type_symbol
_atom_site_fract_x
_atom_site_fract_y
_atom_site_fract_z
_atom_site_occupancy
Ti1 Ti 0.0000 0.0000 0.1013 1
Ti2 Ti 0.0000 0.0000 0.3025 1
Co1 Co 0.0000 0.0000 0.3969 1
Sn1 Sn 0.0000 0.0000 0.5000 1
# volume	365.74	Å³ per cell
# total magnetic moment	0.00	Bohr magnetons per cell
# ΔE_f	-76.5	meV/atom
# raw total energy	-7.190	eV/atom

---

Among the records above, which one has the highest volume?
PmPuMg2Hg4